No. 1
# ZrNiS2 GGA-PBE relaxed
data_ZrNiS2
_symmetry_space_group_name_H-M 'P n m a'
_symmetry_Int_Tables_number 62
_symmetry_space_group_name_Hall '-P 2ac 2n'
_cell_length_a 12.622
_cell_length_b 3.712
_cell_length_c 5.940
_cell_angle_alpha 90.00
_cell_angle_beta 90.00
_cell_angle_gamma 90.00
loop_
_atom_site_label
_atom_site_fract_x
_atom_site_fract_y
_atom_site_fract_z
_atom_site_occupancy
Zr1 0.120 0.250 0.019 1
Ni1 0.038 0.750 0.347 1
S1 0.053 0.750 0.737 1
S2 0.209 0.750 0.244 1
# total energy: -6.785 eV per atom
# total magnetic moment: 0.00 μB/atom

***

No. 2
# Ni9Sb GGA-PBE relaxed
data_Ni9Sb
_symmetry_space_group_name_H-M 'P 4/n m m'
_symmetry_Int_Tables_number 129
_cell_length_a 2.680
_cell_length_b 2.680
_cell_length_c 42.906
_cell_angle_alpha 90.00
_cell_angle_beta 90.00
_cell_angle_gamma 90.00
loop_
_symmetry_equiv_pos_as_xyz
'x,y,z'
'-x,-y,-z'
'-y+1/2,x,z'
'y+1/2,-x,-z'
'-x+1/2,-y+1/2,z'
'x+1/2,y+1/2,-z'
'y,-x+1/2,z'
'-y,x+1/2,-z'
'x+1/2,-y,-z'
'-x+1/2,y,z'
'-y,-x,-z'
'y,x,z'
'-x,y+1/2,-z'
'x,-y+1/2,z'
'y+1/2,x+1/2,-z'
'-y+1/2,-x+1/2,z'
loop_
_atom_site_label
_atom_site_fract_x
_atom_site_fract_y
_atom_site_fract_z
_atom_site_occupancy
Ni1 0.250 0.250 0.018 1
Ni2 0.250 0.250 0.090 1
Ni3 0.250 0.250 0.162 1
Ni4 0.250 0.250 0.234 1
Ni5 0.250 0.250 0.308 1
Ni6 0.250 0.250 0.730 1
Ni7 0.250 0.250 0.802 1
Ni8 0.250 0.250 0.874 1
Ni9 0.250 0.250 0.946 1
Sb1 0.250 0.250 0.647 1
# total energy: -5.268 eV per atom
# E above lowest polymorph: 92 meV per atom
# total magnetic moment: 0.23 μB/atom

***

No. 3
# Ni15Sb GGA-PBE relaxed
data_Ni15Sb
_symmetry_space_group_name_H-M 'P 1 2 1'
_symmetry_Int_Tables_number 3
_symmetry_space_group_name_Hall 'P 2y'
_cell_length_a 4.281
_cell_length_b 33.540
_cell_length_c 4.281
_cell_angle_alpha 90.00
_cell_angle_beta 109.09
_cell_angle_gamma 90.00
loop_
_atom_site_label
_atom_site_fract_x
_atom_site_fract_y
_atom_site_fract_z
_atom_site_occupancy
Ni1 0.000 0.000 0.000 1
Ni2 0.000 0.036 0.500 1
Ni3 0.000 0.073 0.000 1
Ni4 0.000 0.111 0.500 1
Ni5 0.000 0.147 0.000 1
Ni6 0.000 0.184 0.500 1
Ni7 0.000 0.222 0.000 1
Ni8 0.000 0.741 0.500 1
Ni9 0.000 0.778 0.000 1
Ni10 0.000 0.815 0.500 1
Ni11 0.000 0.852 0.000 1
Ni12 0.000 0.889 0.500 1
Ni13 0.000 0.926 0.000 1
Ni14 0.000 0.963 0.500 1
Ni15 0.500 0.000 0.500 1
Ni16 0.500 0.037 0.000 1
Ni17 0.500 0.073 0.500 1
Ni18 0.500 0.111 0.000 1
Ni19 0.500 0.147 0.500 1
Ni20 0.500 0.184 0.000 1
Ni21 0.500 0.222 0.500 1
Ni22 0.500 0.257 0.000 1
Ni23 0.500 0.706 0.500 1
Ni24 0.500 0.741 0.000 1
Ni25 0.500 0.779 0.500 1
Ni26 0.500 0.815 0.000 1
Ni27 0.500 0.852 0.500 1
Ni28 0.500 0.889 0.000 1
Ni29 0.500 0.926 0.500 1
Ni30 0.500 0.963 0.000 1
Sb1 0.000 0.269 0.500 1
Sb2 0.000 0.694 0.000 1
# total energy: -5.447 eV per atom
# E above lowest polymorph: 0 meV per atom
# total magnetic moment: 0.33 μB/atom